[1]
This record from Alexandria describes a relaxed Nb3IrS crystal. The functional is PBE-GGA.

## Properties
For the size of the total moment, the calculation gives 0.000 Bohr magnetons per cell. The calculation puts the raw formation energy at 510 kJ/mol of formula units. Its relative energy among the computed polymorphs is 861 meV per atom. The value obtained for the raw total energy is -7.582 eV per atom. The space group is Pm-3m.

```
5
Lattice="4.882 0.000 0.000 0.000 4.882 0.000 0.000 0.000 4.882" Properties=species:S:1:pos:R:3 pbc="T T T"
Nb 0.000 0.000 2.441
Nb 0.000 2.441 0.000
Nb 2.441 0.000 0.000
Ir 0.000 0.000 0.000
S 2.441 2.441 2.441
```



[2]
This record from Alexandria describes a relaxed Rb2AcHg2O4 crystal. The functional is PBE-GGA.

## Properties
For the size of the total moment, the calculation gives 0.000 Bohr magnetons per cell. The calculation puts the raw formation energy at -1172 kJ/mol of formula units. The value obtained for the raw total energy is -4.292 eV per atom. The space group is C2/m.

```
9
Lattice="7.937 -1.894 0.000 7.937 1.894 0.000 -1.244 0.000 7.006" Properties=species:S:1:pos:R:3 pbc="T T T"
Rb 1.925 0.000 0.540
Rb 12.705 0.000 6.466
Ac -0.622 0.000 3.503
Hg 4.375 0.000 3.148
Hg 10.255 0.000 3.858
O 1.548 0.000 4.948
O 6.197 0.000 4.749
O 8.434 0.000 2.257
O 13.082 0.000 2.057
```



[3]
This record from Alexandria describes a relaxed Ca2TcTe crystal. The functional is PBE-GGA.

## Properties
For the size of the total moment, the calculation gives 0.000 Bohr magnetons per cell. The calculation puts the raw formation energy at 21 kJ/mol of formula units. The value obtained for the raw total energy is -4.323 eV per atom. The space group is I-42d.

```
8
Lattice="-5.307 5.307 2.532 5.307 -5.307 2.532 5.307 5.307 -2.532" Properties=species:S:1:pos:R:3 pbc="T T T"
Ca 0.784 2.654 0.633
Ca -2.654 4.524 1.899
Ca -0.784 7.961 0.633
Ca 2.654 6.091 1.899
Tc 0.000 0.000 0.000
Tc 0.000 5.307 1.266
Te 5.307 0.000 1.266
Te 0.000 0.000 2.532
```



[4]
This record from Alexandria describes a relaxed CsRb3Cl3 crystal. The functional is PBE-GGA.

## Properties
For the size of the total moment, the calculation gives 0.171 Bohr magnetons per cell. The calculation puts the raw formation energy at -1084 kJ/mol of formula units. The value obtained for the raw total energy is -2.933 eV per atom. The space group is C2/m.

```
14
Lattice="8.907 -2.370 0.000 8.907 2.370 0.000 -5.691 0.000 15.760" Properties=species:S:1:pos:R:3 pbc="T T T"
Cs 1.580 0.000 3.497
Cs 10.544 0.000 12.263
Rb -2.437 0.000 10.907
Rb 3.522 0.000 8.292
Rb 6.235 0.000 1.027
Rb 5.890 0.000 14.733
Rb 8.603 0.000 7.467
Rb 14.561 0.000 4.852
Cl 0.591 0.000 9.679
Cl -0.832 0.000 13.768
Cl 4.348 0.000 11.696
Cl 7.776 0.000 4.064
Cl 12.956 0.000 1.991
Cl 11.534 0.000 6.080
```